(1)
A relaxed structure of TiI3. Source: the Alexandria database, functional PBE-GGA.

abc: 7.0982 7.0982 7.4688
angles: 90.00 90.00 120.00
Closest atoms and distances in Å follow each position.
Element x y z (fractional)
Ti (0.3333, 0.6667, 0.0000)  6 I 2.81
Ti (0.6667, 0.3333, 0.0000)  6 I 2.81
I (0.0000, 0.3549, 0.7823)  2 Ti 2.81
I (0.0000, 0.6451, 0.2177)  2 Ti 2.81
I (0.3549, 0.0000, 0.7823)  2 Ti 2.81
I (0.3549, 0.3549, 0.2177)  2 Ti 2.81
I (0.6451, 0.0000, 0.2177)  2 Ti 2.81
I (0.6451, 0.6451, 0.7823)  2 Ti 2.81

Symmetry   P-31m, No. 162
E   -3.889 eV per atom
Raw formation energy   -0.7530 eV per atom

***

(2)
A relaxed structure of PmGdTe2. Source: the Alexandria database, functional PBE-GGA.

abc: 5.4307 5.4307 5.4307
angles: 60.00 60.00 60.00
Closest atoms and distances in Å follow each position.
Element x y z (fractional)
Pm (0.0000, 0.0000, 0.0000)  8 Te 3.33
Gd (0.5000, 0.5000, 0.5000)  8 Te 3.33
Te (0.2500, 0.2500, 0.2500)  4 Gd 3.33, 4 Pm 3.33
Te (0.7500, 0.7500, 0.7500)  4 Gd 3.33, 4 Pm 3.33

Symmetry   Fm-3m, No. 225
E   -7.567 eV per atom
Offset from the most stable computed form   3.2 meV/atom
Raw formation energy   -1.2883 eV per atom